Entry 1:
This record from the Alexandria database describes DyTlPb2 after structural relaxation. The functional is GGA-PBE.

Values from the calculation:
Volume (Å³/atom): 29.685
DFT total energy (eV per atom): -3.78

Lattice parameters (Å, degrees): 4.187 4.187 6.772 90.00 90.00 90.00
Sites, in units of the cell vectors:
Pb 0.000 0.000 0.763
Tl 0.500 0.500 0.500
Pb 0.000 0.000 0.237
Dy 0.500 0.500 0.000

Entry 2:
This record from the Alexandria database describes Pr2Pd15Au2 after structural relaxation. The functional is GGA-PBE.

Values from the calculation:
Volume (Å³/atom): 17.739
DFT total energy (eV per atom): -5.28

Lattice parameters (Å, degrees): 7.017 7.017 7.017 82.36 82.36 82.36
Sites, in units of the cell vectors:
Pd 0.840 0.348 0.348
Pd 0.306 0.694 0.000
Pd 0.694 0.000 0.306
Pr 0.661 0.661 0.661
Au 0.898 0.898 0.898
Pd 0.000 0.694 0.306
Pd 0.306 0.000 0.694
Au 0.102 0.102 0.102
Pd 0.000 0.000 0.500
Pd 0.694 0.306 0.000
Pd 0.000 0.306 0.694
Pd 0.348 0.348 0.840
Pd 0.652 0.160 0.652
Pd 0.500 0.000 0.000
Pd 0.000 0.500 0.000
Pr 0.339 0.339 0.339
Pd 0.652 0.652 0.160
Pd 0.348 0.840 0.348
Pd 0.160 0.652 0.652

Entry 3:
This record from the Alexandria database describes Li2PrAg2 after structural relaxation. The functional is GGA-PBE.

Values from the calculation:
Volume (Å³/atom): 21.806
Energy relative to the lowest polymorph listed for this composition (eV per formula unit): 0.00

Lattice parameters (Å, degrees): 4.083 4.083 6.539 90.00 90.00 90.00
Sites, in units of the cell vectors:
Pr 0.000 0.000 0.000
Ag 0.500 0.500 0.222
Li 0.000 0.500 0.500
Ag 0.500 0.500 0.778
Li 0.500 0.000 0.500

Entry 4:
This record from the Alexandria database describes Rb3AlFe after structural relaxation. The functional is GGA-PBE.

Values from the calculation:
Volume (Å³/atom): 65.715
DFT total energy (eV per atom): -1.94

Lattice parameters (Å, degrees): 6.900 6.900 6.900 90.00 90.00 90.00
Each line ends with the local moment (μB).
Sites, in units of the cell vectors:
Rb 0.500 0.000 0.000  0.01
Rb 0.000 0.500 0.000  0.00
Al 0.000 0.000 0.000  0.03
Fe 0.500 0.500 0.500  3.22
Rb 0.000 0.000 0.500  0.00

Entry 5:
This record from the Alexandria database describes YAg2 after structural relaxation. The functional is GGA-PBE.

Values from the calculation:
Volume (Å³/atom): 22.203
DFT total energy (eV per atom): -4.29

Lattice parameters (Å, degrees): 4.997 4.997 10.523 134.59 134.59 60.67
Sites, in units of the cell vectors:
Ag 0.257 0.257 0.570
Ag 0.639 0.639 0.278
Y 0.767 0.767 0.069
Ag 0.021 0.021 0.985
Y 0.511 0.511 0.487
Ag 0.139 0.139 0.778

Entry 6:
This record from the Alexandria database describes Li4HfTl5 after structural relaxation. The functional is GGA-PBE.

Values from the calculation:
Volume (Å³/atom): 21.219
DFT total energy (eV per atom): -3.08

Lattice parameters (Å, degrees): 3.373 3.373 18.655 90.00 90.00 90.00
Sites, in units of the cell vectors:
Tl 0.500 0.500 0.500
Li 0.000 0.000 0.798
Tl 0.500 0.500 0.701
Li 0.000 0.000 0.202
Tl 0.500 0.500 0.299
Tl 0.500 0.500 0.891
Tl 0.500 0.500 0.109
Li 0.000 0.000 0.602
Li 0.000 0.000 0.398
Hf 0.000 0.000 0.000

Entry 7:
This record from the Alexandria database describes Sr2NbRhS after structural relaxation. The functional is GGA-PBE.

Values from the calculation:
Volume (Å³/atom): 30.877
Uncorrected formation energy (eV/atom): 0.307

Lattice parameters (Å, degrees): 5.953 4.356 5.953 90.00 90.00 90.00
Each line ends with the local moment (μB).
Sites, in units of the cell vectors:
Rh 0.000 0.000 0.000  0.02
Sr 0.000 0.000 0.500  0.08
S 0.000 0.500 0.000  0.01
Sr 0.500 0.000 0.000  0.08
Nb 0.500 0.500 0.500  2.99

Entry 8:
This record from the Alexandria database describes YLuPb after structural relaxation. The functional is GGA-PBE.

Values from the calculation:
Volume (Å³/atom): 29.571
Energy relative to the lowest polymorph listed for this composition (eV per formula unit): 0.30

Lattice parameters (Å, degrees): 3.699 5.262 5.262 120.00 90.00 90.00
Sites, in units of the cell vectors:
Y 0.380 0.333 0.667
Lu 0.913 0.000 0.000
Pb 0.707 0.667 0.333

Please write out number 8 again, unchanged.
This record from the Alexandria database describes YLuPb after structural relaxation. The functional is GGA-PBE.

Values from the calculation:
Volume (Å³/atom): 29.571
Energy relative to the lowest polymorph listed for this composition (eV per formula unit): 0.30

Lattice parameters (Å, degrees): 3.699 5.262 5.262 120.00 90.00 90.00
Sites, in units of the cell vectors:
Y 0.380 0.333 0.667
Lu 0.913 0.000 0.000
Pb 0.707 0.667 0.333